(a)
# FeCo2Ni PBE relaxed
# Total moment in μB per formula unit: 6.57
data_FeCo2Ni
_chemical_formula_sum 'Fe2 Co4 Ni2'
_cell_length_a 8.3062
_cell_length_b 2.5054
_cell_length_c 4.3468
_cell_angle_alpha 90.00
_cell_angle_beta 99.98
_cell_angle_gamma 90.00
_symmetry_space_group_name_H-M 'C 1 m 1'
_symmetry_Int_Tables_number 8
loop_
_symmetry_equiv_pos_as_xyz
'x,y,z'
'x,-y,z'
'x+1/2,y+1/2,z'
'x+1/2,-y+1/2,z'
loop_
_atom_site_label
_atom_site_type_symbol
_atom_site_fract_x
_atom_site_fract_y
_atom_site_fract_z
Fe1 Fe 0.0000 0.0000 0.0000
Co1 Co 0.2480 0.0000 0.7363
Co2 Co 0.4994 0.0000 0.4997
Ni1 Ni 0.2511 0.5000 0.2450

(b)
# FeCo2Ni PBE relaxed
# Total moment in μB per formula unit: 6.39
data_FeCo2Ni
_chemical_formula_sum 'Fe1 Co2 Ni1'
_cell_length_a 2.4956
_cell_length_b 2.4956
_cell_length_c 7.1261
_cell_angle_alpha 90.00
_cell_angle_beta 90.00
_cell_angle_gamma 90.00
_symmetry_space_group_name_H-M 'P 4 m m'
_symmetry_Int_Tables_number 99
loop_
_symmetry_equiv_pos_as_xyz
'x,y,z'
'-y,x,z'
'-x,-y,z'
'y,-x,z'
'-x,y,z'
'y,x,z'
'x,-y,z'
'-y,-x,z'
loop_
_atom_site_label
_atom_site_type_symbol
_atom_site_fract_x
_atom_site_fract_y
_atom_site_fract_z
Fe1 Fe 0.0000 0.0000 0.0000
Co1 Co 0.0000 0.0000 0.5045
Co2 Co 0.5000 0.5000 0.7436
Ni1 Ni 0.5000 0.5000 0.2547

Name the least stable of them. (a).

(a)
# FeCo2Ni PBE relaxed
# Total moment in μB per formula unit: 6.52
data_FeCo2Ni
_chemical_formula_sum 'Fe2 Co4 Ni2'
_cell_length_a 3.5374
_cell_length_b 3.5374
_cell_length_c 7.1102
_cell_angle_alpha 90.00
_cell_angle_beta 90.00
_cell_angle_gamma 90.00
_symmetry_space_group_name_H-M 'I 4/m m m'
_symmetry_Int_Tables_number 139
_symmetry_space_group_name_Hall '-I 4 2'
loop_
_atom_site_label
_atom_site_type_symbol
_atom_site_fract_x
_atom_site_fract_y
_atom_site_fract_z
Fe1 Fe 0.0000 0.0000 0.0000
Co1 Co 0.0000 0.5000 0.2500
Ni1 Ni 0.0000 0.0000 0.5000

(b)
# FeCo2Ni PBE relaxed
# Total moment in μB per formula unit: 7.03
data_FeCo2Ni
_chemical_formula_sum 'Fe4 Co8 Ni4'
_cell_length_a 6.4062
_cell_length_b 6.4062
_cell_length_c 4.8104
_cell_angle_alpha 90.00
_cell_angle_beta 90.00
_cell_angle_gamma 90.00
_symmetry_space_group_name_H-M 'I -4 2 d'
_symmetry_Int_Tables_number 122
_symmetry_space_group_name_Hall 'I -4 2bw'
loop_
_atom_site_label
_atom_site_type_symbol
_atom_site_fract_x
_atom_site_fract_y
_atom_site_fract_z
Fe1 Fe 0.0000 0.0000 0.0000
Co1 Co 0.2500 0.2496 0.3750
Ni1 Ni 0.0000 0.0000 0.5000

(c)
# FeCo2Ni PBE relaxed
# Total moment in μB per formula unit: 6.86
data_FeCo2Ni
_chemical_formula_sum 'Fe4 Co8 Ni4'
_cell_length_a 5.6552
_cell_length_b 5.6552
_cell_length_c 5.6552
_cell_angle_alpha 90.00
_cell_angle_beta 90.00
_cell_angle_gamma 90.00
_symmetry_space_group_name_H-M 'F -4 3 m'
_symmetry_Int_Tables_number 216
_symmetry_space_group_name_Hall 'F -4 2 3'
loop_
_atom_site_label
_atom_site_type_symbol
_atom_site_fract_x
_atom_site_fract_y
_atom_site_fract_z
Fe1 Fe 0.0000 0.0000 0.0000
Co1 Co 0.0000 0.0000 0.5000
Co2 Co 0.2500 0.2500 0.2500
Ni1 Ni 0.2500 0.2500 0.7500

Name the least stable of them. (b).

(a)
# Fe2Co2Ni7 PBE relaxed
# Total moment in μB per formula unit: 13.94
data_Fe2Co2Ni7
_chemical_formula_sum 'Fe4 Co4 Ni14'
_cell_length_a 7.4276
_cell_length_b 8.3575
_cell_length_c 4.6759
_cell_angle_alpha 90.00
_cell_angle_beta 117.21
_cell_angle_gamma 90.00
_symmetry_space_group_name_H-M 'C 1 2/m 1'
_symmetry_Int_Tables_number 12
loop_
_symmetry_equiv_pos_as_xyz
'x,y,z'
'-x,-y,-z'
'-x,y,-z'
'x,-y,z'
'x+1/2,y+1/2,z'
'-x+1/2,-y+1/2,-z'
'-x+1/2,y+1/2,-z'
'x+1/2,-y+1/2,z'
loop_
_atom_site_label
_atom_site_type_symbol
_atom_site_fract_x
_atom_site_fract_y
_atom_site_fract_z
Fe1 Fe 0.1611 0.0000 0.4551
Co1 Co 0.0000 0.3632 0.0000
Ni1 Ni 0.0000 0.5000 0.5000
Ni2 Ni 0.1779 0.2559 0.7006
Ni3 Ni 0.1802 0.0000 0.9736

(b)
# Fe2Co2Ni7 PBE relaxed
# Total moment in μB per formula unit: 13.17
data_Fe2Co2Ni7
_chemical_formula_sum 'Fe4 Co4 Ni14'
_cell_length_a 3.8547
_cell_length_b 11.2583
_cell_length_c 5.8108
_cell_angle_alpha 90.00
_cell_angle_beta 90.00
_cell_angle_gamma 90.00
_symmetry_space_group_name_H-M 'I m m 2'
_symmetry_Int_Tables_number 44
loop_
_symmetry_equiv_pos_as_xyz
'x,y,z'
'-x,-y,z'
'-x,y,z'
'x,-y,z'
'x+1/2,y+1/2,z+1/2'
'-x+1/2,-y+1/2,z+1/2'
'-x+1/2,y+1/2,z+1/2'
'x+1/2,-y+1/2,z+1/2'
loop_
_atom_site_label
_atom_site_type_symbol
_atom_site_fract_x
_atom_site_fract_y
_atom_site_fract_z
Fe1 Fe 0.0000 0.1955 0.0000
Co1 Co 0.0000 0.0000 0.2158
Co2 Co 0.0000 0.5000 0.9928
Ni1 Ni 0.0000 0.0000 0.7917
Ni2 Ni 0.0000 0.1582 0.4984
Ni3 Ni 0.0000 0.3520 0.7141
Ni4 Ni 0.0000 0.3556 0.2850

Name the least stable of them. (a).

(a)
# Fe3CoNi6 PBE relaxed
# Total moment in μB per formula unit: 13.86
data_Fe3CoNi6
_chemical_formula_sum 'Fe6 Co2 Ni12'
_cell_length_a 8.2660
_cell_length_b 4.7046
_cell_length_c 6.3740
_cell_angle_alpha 90.00
_cell_angle_beta 109.17
_cell_angle_gamma 90.00
_symmetry_space_group_name_H-M 'C 1 2/m 1'
_symmetry_Int_Tables_number 12
loop_
_symmetry_equiv_pos_as_xyz
'x,y,z'
'-x,-y,-z'
'-x,y,-z'
'x,-y,z'
'x+1/2,y+1/2,z'
'-x+1/2,-y+1/2,-z'
'-x+1/2,y+1/2,-z'
'x+1/2,-y+1/2,z'
loop_
_atom_site_label
_atom_site_type_symbol
_atom_site_fract_x
_atom_site_fract_y
_atom_site_fract_z
Fe1 Fe 0.0000 0.0000 0.0000
Fe2 Fe 0.0980 0.0000 0.6856
Co1 Co 0.0000 0.5000 0.5000
Ni1 Ni 0.1476 0.5000 0.9281
Ni2 Ni 0.1614 0.2507 0.3076

(b)
# Fe3CoNi6 PBE relaxed
# Total moment in μB per formula unit: 13.71
data_Fe3CoNi6
_chemical_formula_sum 'Fe6 Co2 Ni12'
_cell_length_a 6.6567
_cell_length_b 4.0703
_cell_length_c 8.6864
_cell_angle_alpha 90.00
_cell_angle_beta 108.74
_cell_angle_gamma 90.00
_symmetry_space_group_name_H-M 'P 1 21/m 1'
_symmetry_Int_Tables_number 11
loop_
_symmetry_equiv_pos_as_xyz
'x,y,z'
'-x,-y,-z'
'-x,y+1/2,-z'
'x,-y+1/2,z'
loop_
_atom_site_label
_atom_site_type_symbol
_atom_site_fract_x
_atom_site_fract_y
_atom_site_fract_z
Fe1 Fe 0.0947 0.2500 0.2348
Fe2 Fe 0.2994 0.2500 0.0310
Fe3 Fe 0.3036 0.7500 0.3697
Co1 Co 0.0974 0.7500 0.5644
Ni1 Ni 0.1013 0.7500 0.0675
Ni2 Ni 0.1023 0.2500 0.7321
Ni3 Ni 0.2990 0.2500 0.5356
Ni4 Ni 0.3005 0.7500 0.8633
Ni5 Ni 0.4989 0.7500 0.1666
Ni6 Ni 0.4995 0.2500 0.3312

Name the least stable of them. (a).

(a)
# Fe2CoNi6 PBE relaxed
# Total moment in μB per formula unit: 10.46
data_Fe2CoNi6
_chemical_formula_sum 'Fe8 Co4 Ni24'
_cell_length_a 3.5229
_cell_length_b 10.6253
_cell_length_c 10.6347
_cell_angle_alpha 90.00
_cell_angle_beta 90.00
_cell_angle_gamma 90.00
_symmetry_space_group_name_H-M 'F m m m'
_symmetry_Int_Tables_number 69
_symmetry_space_group_name_Hall '-F 2 2'
loop_
_atom_site_label
_atom_site_type_symbol
_atom_site_fract_x
_atom_site_fract_y
_atom_site_fract_z
Fe1 Fe 0.0000 0.0000 0.1626
Co1 Co 0.0000 0.0000 0.5000
Ni1 Ni 0.0000 0.1653 0.3330
Ni2 Ni 0.0000 0.1668 0.0000

(b)
# Fe2CoNi6 PBE relaxed
# Total moment in μB per formula unit: 10.38
data_Fe2CoNi6
_chemical_formula_sum 'Fe4 Co2 Ni12'
_cell_length_a 7.7756
_cell_length_b 4.1638
_cell_length_c 7.3368
_cell_angle_alpha 90.00
_cell_angle_beta 121.92
_cell_angle_gamma 90.00
_symmetry_space_group_name_H-M 'C 1 2/m 1'
_symmetry_Int_Tables_number 12
loop_
_symmetry_equiv_pos_as_xyz
'x,y,z'
'-x,-y,-z'
'-x,y,-z'
'x,-y,z'
'x+1/2,y+1/2,z'
'-x+1/2,-y+1/2,-z'
'-x+1/2,y+1/2,-z'
'x+1/2,-y+1/2,z'
loop_
_atom_site_label
_atom_site_type_symbol
_atom_site_fract_x
_atom_site_fract_y
_atom_site_fract_z
Fe1 Fe 0.1653 0.0000 0.3308
Co1 Co 0.0000 0.5000 0.0000
Ni1 Ni 0.0042 0.5000 0.3349
Ni2 Ni 0.1674 0.0000 0.0006
Ni3 Ni 0.1690 0.0000 0.6656

Name the least stable of them. (b).

(a)
# Fe4CoNi PBE relaxed
# Total moment in μB per formula unit: 13.21
data_Fe4CoNi
_chemical_formula_sum 'Fe8 Co2 Ni2'
_cell_length_a 8.9882
_cell_length_b 2.9322
_cell_length_c 5.5821
_cell_angle_alpha 90.00
_cell_angle_beta 108.17
_cell_angle_gamma 90.00
_symmetry_space_group_name_H-M 'C 1 2/m 1'
_symmetry_Int_Tables_number 12
loop_
_symmetry_equiv_pos_as_xyz
'x,y,z'
'-x,-y,-z'
'-x,y,-z'
'x,-y,z'
'x+1/2,y+1/2,z'
'-x+1/2,-y+1/2,-z'
'-x+1/2,y+1/2,-z'
'x+1/2,-y+1/2,z'
loop_
_atom_site_label
_atom_site_type_symbol
_atom_site_fract_x
_atom_site_fract_y
_atom_site_fract_z
Fe1 Fe 0.1657 0.0000 0.3344
Fe2 Fe 0.1670 0.0000 0.8314
Co1 Co 0.0000 0.5000 0.5000
Ni1 Ni 0.0000 0.5000 0.0000

(b)
# Fe4CoNi PBE relaxed
# Total moment in μB per formula unit: 12.20
data_Fe4CoNi
_chemical_formula_sum 'Fe8 Co2 Ni2'
_cell_length_a 4.6964
_cell_length_b 7.8884
_cell_length_c 4.4060
_cell_angle_alpha 90.00
_cell_angle_beta 90.00
_cell_angle_gamma 90.00
_symmetry_space_group_name_H-M 'P b a n'
_symmetry_Int_Tables_number 50
loop_
_symmetry_equiv_pos_as_xyz
'x,y,z'
'-x,-y,-z'
'-x+1/2,-y+1/2,z'
'x+1/2,y+1/2,-z'
'x,-y+1/2,-z'
'-x,y+1/2,z'
'-x+1/2,y,-z'
'x+1/2,-y,z'
loop_
_atom_site_label
_atom_site_type_symbol
_atom_site_fract_x
_atom_site_fract_y
_atom_site_fract_z
Fe1 Fe 0.0970 0.0035 0.2487
Co1 Co 0.2500 0.7500 0.0000
Ni1 Ni 0.2500 0.2500 0.5000

(c)
# Fe4CoNi PBE relaxed
# Total moment in μB per formula unit: 10.69
data_Fe4CoNi
_chemical_formula_sum 'Fe16 Co4 Ni4'
_cell_length_a 6.5450
_cell_length_b 6.5450
_cell_length_c 6.5450
_cell_angle_alpha 90.00
_cell_angle_beta 90.00
_cell_angle_gamma 90.00
_symmetry_space_group_name_H-M 'F -4 3 m'
_symmetry_Int_Tables_number 216
_symmetry_space_group_name_Hall 'F -4 2 3'
loop_
_atom_site_label
_atom_site_type_symbol
_atom_site_fract_x
_atom_site_fract_y
_atom_site_fract_z
Fe1 Fe 0.1252 0.1252 0.1252
Co1 Co 0.0000 0.0000 0.5000
Ni1 Ni 0.2500 0.2500 0.7500

Name the least stable of them. (b).